Entry 1:
## SmAgAs (PBE)

Data for crystalline SmAgAs at its relaxed geometry.

Unit cell a=4.6931 b=4.6931 c=4.6931 alpha=60.00 beta=60.00 gamma=60.00
Fractional positions:
Ag 0.0000 0.0000 0.0000
Sm 0.7500 0.7500 0.7500
As 0.2500 0.2500 0.2500

Total magnetization   0.01 μB/f.u.


Entry 2:
## SmAg2As2 (PBE)

Data for crystalline SmAg2As2 at its relaxed geometry.

Unit cell a=6.7875 b=6.7875 c=6.7875 alpha=144.73 beta=144.73 gamma=50.74
Fractional positions:
Ag 0.2500 0.7500 0.5000
Ag 0.7500 0.2500 0.5000
As 0.3947 0.3947 0.0000
As 0.6053 0.6053 0.0000
Sm 0.0000 0.0000 0.0000

Total magnetization   0.03 μB/f.u.


Entry 3:
## AgSn2As (PBE)

Data for crystalline AgSn2As at its relaxed geometry.

Unit cell a=5.0601 b=5.0601 c=5.0601 alpha=60.00 beta=60.00 gamma=60.00
Fractional positions:
Sn 0.2500 0.2500 0.2500
Sn 0.5000 0.5000 0.5000
Ag 0.7500 0.7500 0.7500
As 0.0000 0.0000 0.0000


no.,final energy (eV per cell)
1,-13.58
2,-21.99
3,-14.54